1.
Computed, not measured: an optimized crystal structure of LiHgNO at the PBE level of DFT.

```
data_LiHgNO
_cell_length_a 5.844
_cell_length_b 7.549
_cell_length_c 4.645
_cell_angle_alpha 90.00
_cell_angle_beta 90.00
_cell_angle_gamma 90.00
_space_group_name_H-M_alt 'P 1'
_space_group_IT_number 1
loop_
_space_group_symop_operation_xyz
'x,y,z'
loop_
_atom_site_label
_atom_site_fract_x
_atom_site_fract_y
_atom_site_fract_z
Li1 0.076 0.132 0.000
Li2 0.424 0.132 0.500
Li3 0.576 0.868 0.000
Li4 0.924 0.868 0.500
Hg1 0.009 0.656 0.001
Hg2 0.491 0.656 0.501
Hg3 0.509 0.344 0.001
Hg4 0.991 0.344 0.501
N1 0.094 0.082 0.501
N2 0.406 0.082 0.001
N3 0.594 0.918 0.501
N4 0.906 0.918 0.001
O1 0.019 0.628 0.502
O2 0.481 0.628 0.002
O3 0.519 0.372 0.502
O4 0.981 0.372 0.002
```

Calculated values
VASP energy (eV/atom): -3.486


2.
Computed, not measured: an optimized crystal structure of LiHgNO at the PBE level of DFT.

```
data_LiHgNO
_cell_length_a 4.529
_cell_length_b 4.529
_cell_length_c 4.424
_cell_angle_alpha 90.00
_cell_angle_beta 90.00
_cell_angle_gamma 90.00
_space_group_name_H-M_alt 'P 1'
_space_group_IT_number 1
loop_
_space_group_symop_operation_xyz
'x,y,z'
loop_
_atom_site_label
_atom_site_fract_x
_atom_site_fract_y
_atom_site_fract_z
Li1 0.250 0.250 0.002
Li2 0.750 0.750 0.998
Hg1 0.250 0.750 0.500
Hg2 0.750 0.250 0.500
N1 0.250 0.250 0.506
N2 0.750 0.750 0.494
O1 0.250 0.750 0.000
O2 0.750 0.250 0.000
```

Calculated values
VASP energy (eV/atom): -3.581


3.
Computed, not measured: an optimized crystal structure of LiHgNO at the PBE level of DFT.

```
data_LiHgNO
_cell_length_a 3.982
_cell_length_b 3.982
_cell_length_c 7.090
_cell_angle_alpha 90.00
_cell_angle_beta 90.00
_cell_angle_gamma 90.00
_space_group_name_H-M_alt 'P 1'
_space_group_IT_number 1
loop_
_space_group_symop_operation_xyz
'x,y,z'
loop_
_atom_site_label
_atom_site_fract_x
_atom_site_fract_y
_atom_site_fract_z
Li1 0.250 0.750 0.000
Li2 0.750 0.250 0.000
Hg1 0.250 0.250 0.337
Hg2 0.750 0.750 0.663
N1 0.250 0.250 0.035
N2 0.750 0.750 0.965
O1 0.250 0.750 0.500
O2 0.750 0.250 0.500
```

Calculated values
VASP energy (eV/atom): -3.387


4.
Computed, not measured: an optimized crystal structure of LiHgNO at the PBE level of DFT.

```
data_LiHgNO
_cell_length_a 3.256
_cell_length_b 5.755
_cell_length_c 5.781
_cell_angle_alpha 90.00
_cell_angle_beta 90.00
_cell_angle_gamma 90.00
_space_group_name_H-M_alt 'P 1'
_space_group_IT_number 1
loop_
_space_group_symop_operation_xyz
'x,y,z'
loop_
_atom_site_label
_atom_site_fract_x
_atom_site_fract_y
_atom_site_fract_z
Li1 0.000 0.157 0.000
Li2 0.000 0.843 0.500
Hg1 0.500 0.303 0.483
Hg2 0.500 0.697 0.983
N1 0.500 0.347 0.127
N2 0.500 0.653 0.627
O1 0.000 0.125 0.676
O2 0.000 0.875 0.176
```

Calculated values
VASP energy (eV/atom): -3.460


5.
Computed, not measured: an optimized crystal structure of LiHgNO at the PBE level of DFT.

```
data_LiHgNO
_cell_length_a 5.481
_cell_length_b 8.476
_cell_length_c 4.355
_cell_angle_alpha 90.00
_cell_angle_beta 90.00
_cell_angle_gamma 90.00
_space_group_name_H-M_alt 'P 1'
_space_group_IT_number 1
loop_
_space_group_symop_operation_xyz
'x,y,z'
loop_
_atom_site_label
_atom_site_fract_x
_atom_site_fract_y
_atom_site_fract_z
Li1 0.099 0.081 0.000
Li2 0.401 0.081 0.500
Li3 0.599 0.919 0.000
Li4 0.901 0.919 0.500
Hg1 0.008 0.353 0.518
Hg2 0.492 0.353 0.018
Hg3 0.508 0.647 0.518
Hg4 0.992 0.647 0.018
N1 0.019 0.604 0.517
N2 0.481 0.604 0.017
N3 0.519 0.396 0.517
N4 0.981 0.396 0.017
O1 0.053 0.116 0.525
O2 0.447 0.116 0.025
O3 0.553 0.884 0.525
O4 0.947 0.884 0.025
```

Calculated values
VASP energy (eV/atom): -3.688


6.
Computed, not measured: an optimized crystal structure of NaLi4Hg5 at the PBE level of DFT.

```
data_NaLi4Hg5
_cell_length_a 3.362
_cell_length_b 3.362
_cell_length_c 17.310
_cell_angle_alpha 90.00
_cell_angle_beta 90.00
_cell_angle_gamma 90.00
_space_group_name_H-M_alt 'P 1'
_space_group_IT_number 1
loop_
_space_group_symop_operation_xyz
'x,y,z'
loop_
_atom_site_label
_atom_site_fract_x
_atom_site_fract_y
_atom_site_fract_z
Na1 0.000 0.000 0.000
Li1 0.000 0.000 0.220
Li2 0.000 0.000 0.406
Li3 0.000 0.000 0.594
Li4 0.000 0.000 0.780
Hg1 0.500 0.500 0.126
Hg2 0.500 0.500 0.312
Hg3 0.500 0.500 0.500
Hg4 0.500 0.500 0.688
Hg5 0.500 0.500 0.874
```

Calculated values
VASP energy (eV/atom): -1.389


7.
Computed, not measured: an optimized crystal structure of NaLi2Hg2 at the PBE level of DFT.

```
data_NaLi2Hg2
_cell_length_a 7.123
_cell_length_b 7.123
_cell_length_c 7.123
_cell_angle_alpha 146.21
_cell_angle_beta 146.21
_cell_angle_gamma 48.53
_space_group_name_H-M_alt 'P 1'
_space_group_IT_number 1
loop_
_space_group_symop_operation_xyz
'x,y,z'
loop_
_atom_site_label
_atom_site_fract_x
_atom_site_fract_y
_atom_site_fract_z
Na1 0.000 0.000 0.000
Li1 0.250 0.750 0.500
Li2 0.750 0.250 0.500
Hg1 0.388 0.388 0.000
Hg2 0.612 0.612 0.000
```

Calculated values
VASP energy (eV/atom): -1.384


8.
Computed, not measured: an optimized crystal structure of NaLiHg at the PBE level of DFT.

```
data_NaLiHg
_cell_length_a 4.706
_cell_length_b 4.706
_cell_length_c 4.706
_cell_angle_alpha 60.00
_cell_angle_beta 60.00
_cell_angle_gamma 60.00
_space_group_name_H-M_alt 'P 1'
_space_group_IT_number 1
loop_
_space_group_symop_operation_xyz
'x,y,z'
loop_
_atom_site_label
_atom_site_fract_x
_atom_site_fract_y
_atom_site_fract_z
Na1 0.000 0.000 0.000
Li1 0.750 0.750 0.750
Hg1 0.500 0.500 0.500
```

Calculated values
VASP energy (eV/atom): -1.251


9.
Computed, not measured: an optimized crystal structure of LiNb2Hg at the PBE level of DFT.

```
data_LiNb2Hg
_cell_length_a 4.679
_cell_length_b 4.679
_cell_length_c 4.679
_cell_angle_alpha 60.00
_cell_angle_beta 60.00
_cell_angle_gamma 60.00
_space_group_name_H-M_alt 'P 1'
_space_group_IT_number 1
loop_
_space_group_symop_operation_xyz
'x,y,z'
loop_
_atom_site_label
_atom_site_fract_x
_atom_site_fract_y
_atom_site_fract_z
Li1 0.000 0.000 0.000
Nb1 0.500 0.500 0.500
Nb2 0.750 0.750 0.750
Hg1 0.250 0.250 0.250
```

Calculated values
VASP energy (eV/atom): -5.145


10.
Computed, not measured: an optimized crystal structure of Li2NbHg at the PBE level of DFT.

```
data_Li2NbHg
_cell_length_a 4.588
_cell_length_b 4.588
_cell_length_c 4.588
_cell_angle_alpha 60.00
_cell_angle_beta 60.00
_cell_angle_gamma 60.00
_space_group_name_H-M_alt 'P 1'
_space_group_IT_number 1
loop_
_space_group_symop_operation_xyz
'x,y,z'
loop_
_atom_site_label
_atom_site_fract_x
_atom_site_fract_y
_atom_site_fract_z
Li1 0.000 0.000 0.000
Li2 0.250 0.250 0.250
Nb1 0.500 0.500 0.500
Hg1 0.750 0.750 0.750
```

Calculated values
VASP energy (eV/atom): -3.251


11.
Computed, not measured: an optimized crystal structure of LiNbHgPd at the PBE level of DFT.

```
data_LiNbHgPd
_cell_length_a 4.586
_cell_length_b 4.586
_cell_length_c 4.586
_cell_angle_alpha 60.00
_cell_angle_beta 60.00
_cell_angle_gamma 60.00
_space_group_name_H-M_alt 'P 1'
_space_group_IT_number 1
loop_
_space_group_symop_operation_xyz
'x,y,z'
loop_
_atom_site_label
_atom_site_fract_x
_atom_site_fract_y
_atom_site_fract_z
Li1 0.000 0.000 0.000
Nb1 0.500 0.500 0.500
Hg1 0.250 0.250 0.250
Pd1 0.750 0.750 0.750
```

Calculated values
VASP energy (eV/atom): -4.418


12.
Computed, not measured: an optimized crystal structure of LiNbHgPd at the PBE level of DFT.

```
data_LiNbHgPd
_cell_length_a 4.550
_cell_length_b 4.550
_cell_length_c 4.550
_cell_angle_alpha 60.00
_cell_angle_beta 60.00
_cell_angle_gamma 60.00
_space_group_name_H-M_alt 'P 1'
_space_group_IT_number 1
loop_
_space_group_symop_operation_xyz
'x,y,z'
loop_
_atom_site_label
_atom_site_fract_x
_atom_site_fract_y
_atom_site_fract_z
Li1 0.000 0.000 0.000
Nb1 0.250 0.250 0.250
Hg1 0.500 0.500 0.500
Pd1 0.750 0.750 0.750
```

Calculated values
VASP energy (eV/atom): -4.242


13.
Computed, not measured: an optimized crystal structure of LiNbHgPd at the PBE level of DFT.

```
data_LiNbHgPd
_cell_length_a 4.520
_cell_length_b 4.520
_cell_length_c 4.520
_cell_angle_alpha 60.00
_cell_angle_beta 60.00
_cell_angle_gamma 60.00
_space_group_name_H-M_alt 'P 1'
_space_group_IT_number 1
loop_
_space_group_symop_operation_xyz
'x,y,z'
loop_
_atom_site_label
_atom_site_fract_x
_atom_site_fract_y
_atom_site_fract_z
Li1 0.000 0.000 0.000
Nb1 0.250 0.250 0.250
Hg1 0.750 0.750 0.750
Pd1 0.500 0.500 0.500
```

Calculated values
VASP energy (eV/atom): -4.449


14.
Computed, not measured: an optimized crystal structure of LiNdHgS3 at the PBE level of DFT.

```
data_LiNdHgS3
_cell_length_a 6.618
_cell_length_b 6.618
_cell_length_c 11.155
_cell_angle_alpha 90.00
_cell_angle_beta 90.00
_cell_angle_gamma 144.07
_space_group_name_H-M_alt 'P 1'
_space_group_IT_number 1
loop_
_space_group_symop_operation_xyz
'x,y,z'
loop_
_atom_site_label
_atom_site_fract_x
_atom_site_fract_y
_atom_site_fract_z
Li1 0.232 0.768 0.750
Li2 0.768 0.232 0.250
Nd1 0.500 0.500 0.000
Nd2 0.500 0.500 0.500
Hg1 0.041 0.959 0.250
Hg2 0.959 0.041 0.750
S1 0.146 0.854 0.062
S2 0.146 0.854 0.438
S3 0.403 0.597 0.250
S4 0.597 0.403 0.750
S5 0.854 0.146 0.562
S6 0.854 0.146 0.938
```

Calculated values
VASP energy (eV/atom): -4.296


15.
Computed, not measured: an optimized crystal structure of LiNdHgS3 at the PBE level of DFT.

```
data_LiNdHgS3
_cell_length_a 10.842
_cell_length_b 4.115
_cell_length_c 12.785
_cell_angle_alpha 90.00
_cell_angle_beta 90.00
_cell_angle_gamma 90.00
_space_group_name_H-M_alt 'P 1'
_space_group_IT_number 1
loop_
_space_group_symop_operation_xyz
'x,y,z'
loop_
_atom_site_label
_atom_site_fract_x
_atom_site_fract_y
_atom_site_fract_z
Li1 0.162 0.250 0.085
Li2 0.338 0.750 0.585
Li3 0.662 0.250 0.415
Li4 0.838 0.750 0.915
Nd1 0.119 0.250 0.765
Nd2 0.381 0.750 0.265
Nd3 0.619 0.250 0.735
Nd4 0.881 0.750 0.235
Hg1 0.126 0.250 0.394
Hg2 0.374 0.750 0.894
Hg3 0.626 0.250 0.106
Hg4 0.874 0.750 0.606
S1 0.096 0.750 0.611
S2 0.134 0.750 0.201
S3 0.154 0.750 0.922
S4 0.346 0.250 0.422
S5 0.366 0.250 0.701
S6 0.404 0.250 0.111
S7 0.596 0.750 0.889
S8 0.634 0.750 0.299
S9 0.654 0.750 0.578
S10 0.846 0.250 0.078
S11 0.866 0.250 0.799
S12 0.904 0.250 0.389
```

Calculated values
VASP energy (eV/atom): -4.408


16.
Computed, not measured: an optimized crystal structure of LiNdHg3Se4 at the PBE level of DFT.

```
data_LiNdHg3Se4
_cell_length_a 6.688
_cell_length_b 6.688
_cell_length_c 6.688
_cell_angle_alpha 90.00
_cell_angle_beta 90.00
_cell_angle_gamma 90.00
_space_group_name_H-M_alt 'P 1'
_space_group_IT_number 1
loop_
_space_group_symop_operation_xyz
'x,y,z'
loop_
_atom_site_label
_atom_site_fract_x
_atom_site_fract_y
_atom_site_fract_z
Li1 0.000 0.000 0.000
Nd1 0.500 0.500 0.500
Hg1 0.000 0.500 0.500
Hg2 0.500 0.000 0.500
Hg3 0.500 0.500 0.000
Se1 0.254 0.254 0.254
Se2 0.254 0.746 0.746
Se3 0.746 0.254 0.746
Se4 0.746 0.746 0.254
```

Calculated values
VASP energy (eV/atom): -2.965


17.
Computed, not measured: an optimized crystal structure of LiNdHgSe3 at the PBE level of DFT.

```
data_LiNdHgSe3
_cell_length_a 11.376
_cell_length_b 4.236
_cell_length_c 13.357
_cell_angle_alpha 90.00
_cell_angle_beta 90.00
_cell_angle_gamma 90.00
_space_group_name_H-M_alt 'P 1'
_space_group_IT_number 1
loop_
_space_group_symop_operation_xyz
'x,y,z'
loop_
_atom_site_label
_atom_site_fract_x
_atom_site_fract_y
_atom_site_fract_z
Li1 0.169 0.250 0.071
Li2 0.331 0.750 0.571
Li3 0.669 0.250 0.429
Li4 0.831 0.750 0.929
Nd1 0.111 0.250 0.762
Nd2 0.389 0.750 0.262
Nd3 0.611 0.250 0.738
Nd4 0.889 0.750 0.238
Hg1 0.134 0.250 0.371
Hg2 0.366 0.750 0.871
Hg3 0.634 0.250 0.129
Hg4 0.866 0.750 0.629
Se1 0.089 0.750 0.609
Se2 0.142 0.750 0.200
Se3 0.149 0.750 0.923
Se4 0.351 0.250 0.423
Se5 0.358 0.250 0.700
Se6 0.411 0.250 0.109
Se7 0.589 0.750 0.891
Se8 0.642 0.750 0.300
Se9 0.649 0.750 0.577
Se10 0.851 0.250 0.077
Se11 0.858 0.250 0.800
Se12 0.911 0.250 0.391
```

Calculated values
VASP energy (eV/atom): -4.019


18.
Computed, not measured: an optimized crystal structure of LiNdHgSe3 at the PBE level of DFT.

```
data_LiNdHgSe3
_cell_length_a 7.005
_cell_length_b 7.005
_cell_length_c 11.339
_cell_angle_alpha 90.00
_cell_angle_beta 90.00
_cell_angle_gamma 145.34
_space_group_name_H-M_alt 'P 1'
_space_group_IT_number 1
loop_
_space_group_symop_operation_xyz
'x,y,z'
loop_
_atom_site_label
_atom_site_fract_x
_atom_site_fract_y
_atom_site_fract_z
Li1 0.227 0.773 0.750
Li2 0.773 0.227 0.250
Nd1 0.000 0.000 0.000
Nd2 0.000 0.000 0.500
Hg1 0.475 0.525 0.250
Hg2 0.525 0.475 0.750
Se1 0.105 0.895 0.250
Se2 0.352 0.648 0.068
Se3 0.352 0.648 0.432
Se4 0.648 0.352 0.568
Se5 0.648 0.352 0.932
Se6 0.895 0.105 0.750
```

Calculated values
VASP energy (eV/atom): -3.953


19.
Computed, not measured: an optimized crystal structure of LiNdHg3Te4 at the PBE level of DFT.

```
data_LiNdHg3Te4
_cell_length_a 7.012
_cell_length_b 7.012
_cell_length_c 7.012
_cell_angle_alpha 90.00
_cell_angle_beta 90.00
_cell_angle_gamma 90.00
_space_group_name_H-M_alt 'P 1'
_space_group_IT_number 1
loop_
_space_group_symop_operation_xyz
'x,y,z'
loop_
_atom_site_label
_atom_site_fract_x
_atom_site_fract_y
_atom_site_fract_z
Li1 0.000 0.000 0.000
Nd1 0.500 0.500 0.500
Hg1 0.000 0.500 0.500
Hg2 0.500 0.000 0.500
Hg3 0.500 0.500 0.000
Te1 0.249 0.249 0.249
Te2 0.249 0.751 0.751
Te3 0.751 0.249 0.751
Te4 0.751 0.751 0.249
```

Calculated values
VASP energy (eV/atom): -2.678


20.
Computed, not measured: an optimized crystal structure of LiNdHgTe3 at the PBE level of DFT.

```
data_LiNdHgTe3
_cell_length_a 7.729
_cell_length_b 7.729
_cell_length_c 11.774
_cell_angle_alpha 90.00
_cell_angle_beta 90.00
_cell_angle_gamma 147.11
_space_group_name_H-M_alt 'P 1'
_space_group_IT_number 1
loop_
_space_group_symop_operation_xyz
'x,y,z'
loop_
_atom_site_label
_atom_site_fract_x
_atom_site_fract_y
_atom_site_fract_z
Li1 0.192 0.808 0.750
Li2 0.808 0.192 0.250
Nd1 0.000 0.000 0.000
Nd2 0.000 0.000 0.500
Hg1 0.480 0.520 0.250
Hg2 0.520 0.480 0.750
Te1 0.103 0.897 0.250
Te2 0.352 0.648 0.068
Te3 0.352 0.648 0.432
Te4 0.648 0.352 0.568
Te5 0.648 0.352 0.932
Te6 0.897 0.103 0.750
```

Calculated values
VASP energy (eV/atom): -3.568


Calculated volume list, top to bottom, in Å³/atom: 12.81, 11.34, 14.05, 13.54, 12.64, 19.57, 22.26, 24.56, 18.11, 17.07, 17.05, 16.65, 16.32, 23.89, 23.77, 33.24, 26.82, 26.37, 38.31, 31.82